No. 1
DFT (PBE-GGA) results for a geometry-optimized FeSnIrPt structure.

Output
Offset from the most stable computed form in meV per atom: 0.0

Cell: 6.321 6.321 6.321 Å, 90.00 90.00 90.00°
Space group F-43m (No. 216)
Asymmetric unit:
1 Fe 0.000 0.000 0.000 (multiplicity 4)
2 Sn 0.250 0.250 0.750 (multiplicity 4)
3 Ir 0.000 0.000 0.500 (multiplicity 4)
4 Pt 0.250 0.250 0.250 (multiplicity 4)

***

No. 2
DFT (PBE-GGA) results for a geometry-optimized PmBe structure.

Output
Offset from the most stable computed form in meV per atom: 13.3

Cell: 5.878 5.878 5.878 Å, 90.00 90.00 90.00°
Space group Fm-3m (No. 225)
Asymmetric unit:
1 Pm 0.000 0.000 0.000 (multiplicity 4)
2 Be 0.000 0.000 0.500 (multiplicity 4)

***

No. 3
DFT (PBE-GGA) results for a geometry-optimized LaPrCu2Bi4 structure.

Cell: 4.603 4.603 10.029 Å, 90.00 90.00 90.00°
Space group P4mm (No. 99)
Asymmetric unit:
1 La 0.000 0.000 0.000 (multiplicity 1)
2 Pr 0.500 0.500 0.527 (multiplicity 1)
3 Cu 0.000 0.500 0.762 (multiplicity 2)
4 Bi 0.000 0.000 0.605 (multiplicity 1)
5 Bi 0.000 0.500 0.265 (multiplicity 2)
6 Bi 0.500 0.500 0.920 (multiplicity 1)

***

No. 4
DFT (PBE-GGA) results for a geometry-optimized ZnCu structure.

Cell: 5.279 4.267 6.938 Å, 90.00 100.97 90.00°
Space group P2_1/m (No. 11)
Asymmetric unit:
1 Zn 0.139 0.250 0.065 (multiplicity 2)
2 Zn 0.301 0.250 0.707 (multiplicity 2)
3 Zn 0.358 0.750 0.942 (multiplicity 2)
4 Cu 0.028 0.750 0.609 (multiplicity 2)
5 Cu 0.195 0.750 0.282 (multiplicity 2)
6 Cu 0.473 0.250 0.389 (multiplicity 2)

***

No. 5
DFT (PBE-GGA) results for a geometry-optimized RbSbPIr2 structure.

Cell: 4.061 4.061 14.832 Å, 90.00 90.00 90.00°
Space group I4mm (No. 107)
Asymmetric unit:
1 Rb 0.000 0.000 0.000 (multiplicity 2)
2 Sb 0.000 0.000 0.332 (multiplicity 2)
3 P 0.000 0.000 0.639 (multiplicity 2)
4 Ir 0.000 0.500 0.217 (multiplicity 4)

***

No. 6
DFT (PBE-GGA) results for a geometry-optimized AcTbSb structure.

Output
Offset from the most stable computed form in meV per atom: 0.0

Cell: 7.564 7.564 7.564 Å, 90.00 90.00 90.00°
Space group F-43m (No. 216)
Asymmetric unit:
1 Ac 0.000 0.000 0.000 (multiplicity 4)
2 Tb 0.000 0.000 0.500 (multiplicity 4)
3 Sb 0.250 0.250 0.250 (multiplicity 4)

***

No. 7
DFT (PBE-GGA) results for a geometry-optimized NaCuIrSe2S structure.

Cell: 3.725 13.254 9.409 Å, 90.00 90.00 90.00°
Space group Cmcm (No. 63)
Asymmetric unit:
1 Na 0.000 0.245 0.250 (multiplicity 4)
2 Cu 0.000 0.033 0.750 (multiplicity 4)
3 Ir 0.000 0.500 0.000 (multiplicity 4)
4 Se 0.000 0.129 0.535 (multiplicity 8)
5 S 0.000 0.431 0.750 (multiplicity 4)

***

No. 8
DFT (PBE-GGA) results for a geometry-optimized LiYCoSe3 structure.

Cell: 3.877 12.804 10.694 Å, 90.00 90.00 90.00°
Space group Cmcm (No. 63)
Asymmetric unit:
1 Li 0.000 0.218 0.250 (multiplicity 4)
2 Y 0.000 0.000 0.000 (multiplicity 4)
3 Co 0.000 0.479 0.750 (multiplicity 4)
4 Se 0.000 0.090 0.750 (multiplicity 4)
5 Se 0.000 0.355 0.583 (multiplicity 8)

***

Calculated density (computed, Mg/m³): 14.8 5.0 9.7 8.4 8.5 7.8 6.7 4.9
E (computed, eV for the cell shown): -108.7 -29.2 -37.6 -30.5 -61.3 -57.3 -108.7 -129.0